# 1
Computed, not measured: Ni8SeS5 after structural relaxation at the PBE level of DFT.

The structure in POSCAR format:
```
Ni8SeS5
1.0
0.000 4.744 4.744
4.744 0.000 4.744
4.744 4.744 0.000
Ni Se S
8 1 5
Direct
0.095 0.635 0.635 Ni
0.101 0.101 0.101 Ni
0.101 0.101 0.696 Ni
0.101 0.696 0.101 Ni
0.635 0.095 0.635 Ni
0.635 0.635 0.095 Ni
0.635 0.635 0.635 Ni
0.696 0.101 0.101 Ni
0.250 0.250 0.250 Se
0.391 0.870 0.870 S
0.500 0.500 0.500 S
0.870 0.391 0.870 S
0.870 0.870 0.391 S
0.870 0.870 0.870 S
```

As for the uncorrected formation energy: -180 kJ/mol of formula units. The calculated density is 5.51 g cm⁻³. The space-group type is F-43m, No. 216.


# 2
Computed, not measured: NiSe2S after structural relaxation at the PBE level of DFT.

The structure in POSCAR format:
```
NiSe2S
1.0
-2.938 2.938 5.188
2.938 -2.938 5.188
2.938 2.938 -5.188
Ni Se S
2 4 2
Direct
0.000 0.000 0.000 Ni
0.750 0.250 0.500 Ni
0.071 0.625 0.946 Se
0.375 0.321 0.446 Se
0.679 0.125 0.054 Se
0.875 0.929 0.554 Se
0.250 0.750 0.500 S
0.500 0.500 0.000 S
```

As for the uncorrected formation energy: 77 kJ/mol of formula units. The calculated density is 4.61 g cm⁻³. The space-group type is I-42d, No. 122.


# 3
Computed, not measured: NiSe3S after structural relaxation at the PBE level of DFT.

The structure in POSCAR format:
```
NiSe3S
1.0
4.658 0.000 0.000
0.000 4.658 0.000
0.000 0.000 4.658
Ni Se S
1 3 1
Direct
0.000 0.000 0.000 Ni
0.000 0.000 0.500 Se
0.000 0.500 0.000 Se
0.500 0.000 0.000 Se
0.500 0.500 0.500 S
```

As for the uncorrected formation energy: 298 kJ/mol of formula units. The calculated density is 5.38 g cm⁻³. The space-group type is Pm-3m, No. 221.


# 4
Computed, not measured: NiSeS3 after structural relaxation at the PBE level of DFT.

The structure in POSCAR format:
```
NiSeS3
1.0
4.409 0.000 0.000
0.000 4.409 0.000
0.000 0.000 4.409
Ni Se S
1 1 3
Direct
0.000 0.000 0.000 Ni
0.500 0.500 0.500 Se
0.000 0.000 0.500 S
0.000 0.500 0.000 S
0.500 0.000 0.000 S
```

As for the uncorrected formation energy: 271 kJ/mol of formula units. The calculated density is 4.53 g cm⁻³. The space-group type is Pm-3m, No. 221.